KLaIr2 | PBE-GGA | optimized geometry

calculated formation energy	13.6	kJ per mole of atoms
relative energy among the computed polymorphs	0.300	eV/atom

The structure in CIF format:
```
data_KLaIr2
_chemical_formula_sum 'K1 La1 Ir2'
_symmetry_space_group_name_H-M 'P 4 m m'
_symmetry_Int_Tables_number 99
_cell_length_a 3.587
_cell_length_b 3.587
_cell_length_c 9.154
_cell_angle_alpha 90.00
_cell_angle_beta 90.00
_cell_angle_gamma 90.00
loop_
_symmetry_equiv_pos_as_xyz
'x,y,z'
'-y,x,z'
'-x,-y,z'
'y,-x,z'
'-x,y,z'
'y,x,z'
'x,-y,z'
'-y,-x,z'
loop_
_atom_site_label
_atom_site_type_symbol
_atom_site_fract_x
_atom_site_fract_y
_atom_site_fract_z
K1 K 0.000 0.000 0.000
La1 La 0.500 0.500 0.433
Ir1 Ir 0.000 0.000 0.643
Ir2 Ir 0.500 0.500 0.716
```


YSO4F | PBE-GGA | optimized geometry

E_form (uncorrected)	-2.52	eV/atom
relative energy among the computed polymorphs	0.000	eV/atom

The structure in CIF format:
```
data_YSO4F
_chemical_formula_sum 'Y4 S4 O16 F4'
_symmetry_space_group_name_H-M 'P n m a'
_symmetry_Int_Tables_number 62
_cell_length_a 8.404
_cell_length_b 7.001
_cell_length_c 6.452
_cell_angle_alpha 90.00
_cell_angle_beta 90.00
_cell_angle_gamma 90.00
loop_
_symmetry_equiv_pos_as_xyz
'x,y,z'
'-x,-y,-z'
'-x+1/2,-y,z+1/2'
'x+1/2,y,-z+1/2'
'x+1/2,-y+1/2,-z+1/2'
'-x+1/2,y+1/2,z+1/2'
'-x,y+1/2,-z'
'x,-y+1/2,z'
loop_
_atom_site_label
_atom_site_type_symbol
_atom_site_fract_x
_atom_site_fract_y
_atom_site_fract_z
Y1 Y 0.054 0.250 0.152
S1 S 0.093 0.750 0.314
O1 O 0.020 0.250 0.512
O2 O 0.061 0.582 0.174
O3 O 0.241 0.250 0.881
F1 F 0.206 0.750 0.798
```


Zr2PtPb | PBE-GGA | optimized geometry

calculated formation energy	-44.8	kJ per mole of atoms

The structure in CIF format:
```
data_Zr2PtPb
_chemical_formula_sum 'Zr2 Pt1 Pb1'
_symmetry_space_group_name_H-M 'P 4/m m m'
_symmetry_Int_Tables_number 123
_symmetry_space_group_name_Hall '-P 4 2'
_cell_length_a 4.375
_cell_length_b 4.375
_cell_length_c 4.329
_cell_angle_alpha 90.00
_cell_angle_beta 90.00
_cell_angle_gamma 90.00
loop_
_atom_site_label
_atom_site_type_symbol
_atom_site_fract_x
_atom_site_fract_y
_atom_site_fract_z
Zr1 Zr 0.000 0.500 0.000
Pt1 Pt 0.000 0.000 0.500
Pb1 Pb 0.500 0.500 0.500
```


CaSc2Ta | PBE-GGA | optimized geometry

calculated formation energy	56.0	kJ per mole of atoms
relative energy among the computed polymorphs	0.364	eV/atom

The structure in CIF format:
```
data_CaSc2Ta
_chemical_formula_sum 'Ca4 Sc8 Ta4'
_symmetry_space_group_name_H-M 'F -4 3 m'
_symmetry_Int_Tables_number 216
_symmetry_space_group_name_Hall 'F -4 2 3'
_cell_length_a 7.297
_cell_length_b 7.297
_cell_length_c 7.297
_cell_angle_alpha 90.00
_cell_angle_beta 90.00
_cell_angle_gamma 90.00
loop_
_atom_site_label
_atom_site_type_symbol
_atom_site_fract_x
_atom_site_fract_y
_atom_site_fract_z
Ca1 Ca 0.000 0.000 0.000
Sc1 Sc 0.000 0.000 0.500
Sc2 Sc 0.250 0.250 0.750
Ta1 Ta 0.250 0.250 0.250
```


Ce2YHfAs4 | PBE-GGA | optimized geometry

calculated formation energy	-130.5	kJ per mole of atoms

The structure in CIF format:
```
data_Ce2YHfAs4
_chemical_formula_sum 'Ce2 Y1 Hf1 As4'
_symmetry_space_group_name_H-M 'P 1 2/m 1'
_symmetry_Int_Tables_number 10
_cell_length_a 7.081
_cell_length_b 4.085
_cell_length_c 7.085
_cell_angle_alpha 90.00
_cell_angle_beta 109.37
_cell_angle_gamma 90.00
loop_
_symmetry_equiv_pos_as_xyz
'x,y,z'
'-x,-y,-z'
'-x,y,-z'
'x,-y,z'
loop_
_atom_site_label
_atom_site_type_symbol
_atom_site_fract_x
_atom_site_fract_y
_atom_site_fract_z
Ce1 Ce 0.000 0.000 0.000
Ce2 Ce 0.500 0.500 0.000
Y1 Y 0.000 0.500 0.500
Hf1 Hf 0.500 0.000 0.500
As1 As 0.256 0.000 0.738
As2 As 0.265 0.500 0.269
```


SrTm2RuN4 | PBE-GGA | optimized geometry

E_form (uncorrected)	-0.95	eV/atom

The structure in CIF format:
```
data_SrTm2RuN4
_chemical_formula_sum 'Sr4 Tm8 Ru4 N16'
_symmetry_space_group_name_H-M 'C m c m'
_symmetry_Int_Tables_number 63
_symmetry_space_group_name_Hall '-C 2c 2'
_cell_length_a 3.439
_cell_length_b 11.792
_cell_length_c 11.683
_cell_angle_alpha 90.00
_cell_angle_beta 90.00
_cell_angle_gamma 90.00
loop_
_atom_site_label
_atom_site_type_symbol
_atom_site_fract_x
_atom_site_fract_y
_atom_site_fract_z
Sr1 Sr 0.000 0.108 0.250
Tm1 Tm 0.000 0.369 0.038
Ru1 Ru 0.000 0.157 0.750
N1 N 0.000 0.000 0.000
N2 N 0.000 0.257 0.617
N3 N 0.000 0.421 0.250
```


The calculated density results, record by record, are as follows: 7.93, 3.57, 11.72, 5.32, 7.28, 8.17 g cm⁻³.
The N(E_F) results, record by record, are as follows: 1.40, 0.00, 0.89, 1.68, 1.38, 0.39 states/eV/atom.